# 1
Computed, not measured: a relaxed Li2CrTc crystal at the PBE level of DFT.

Cell: 2.425 4.584 4.795 Å, 90.00 90.00 90.00°
Fractional positions:
1 Tc 0.500 0.500 0.250
2 Li 0.000 0.000 0.002
3 Li 0.000 0.000 0.498
4 Cr 0.500 0.500 0.750

Properties
Its energy relative to the lowest polymorph listed for this composition is 0.490 eV per formula unit. Its formation energy is 0.361 eV per atom. The calculation puts the total magnetization at 0.0 μB/cell. Its energy is -22.4 eV/f.u. Its density of states at the Fermi level is 1.31 states/eV/cell.


# 2
Computed, not measured: a relaxed KAs2AuO8 crystal at the PBE level of DFT.

Cell: 5.232 5.232 9.353 Å, 73.76 73.76 60.00°
Fractional positions:
1 O 0.301 0.301 0.098
2 O 0.699 0.699 0.902
3 O 0.714 0.501 0.656
4 O 0.871 0.499 0.344
5 O 0.501 0.129 0.656
6 O 0.286 0.871 0.344
7 O 0.499 0.286 0.344
8 O 0.129 0.714 0.656
9 Au 0.500 0.500 0.500
10 K 0.000 0.000 0.000
11 As 0.763 0.763 0.711
12 As 0.237 0.237 0.289

Properties
The calculation puts the total magnetization at 0.0 μB/cell. Its energy is -61.9 eV/f.u. As for the formation energy (no corrections): -0.7128 eV/atom.


# 3
Computed, not measured: a relaxed AcCeZrN3 crystal at the PBE level of DFT.

Cell: 3.578 7.490 8.639 Å, 87.79 90.00 90.00°
Fractional positions:
1 Zr 0.750 0.843 0.437
2 Zr 0.250 0.157 0.563
3 Ce 0.750 0.398 0.848
4 Ce 0.250 0.602 0.152
5 N 0.250 0.871 0.574
6 N 0.750 0.129 0.426
7 N 0.250 0.174 0.814
8 N 0.750 0.826 0.186
9 N 0.750 0.383 0.101
10 N 0.250 0.617 0.899
11 Ac 0.750 0.873 0.842
12 Ac 0.250 0.127 0.158

Properties
The calculation puts the total magnetization at 0.1 μB/cell. Its energy is -50.4 eV/f.u. Its density of states at the Fermi level is 9.55 states/eV/cell. As for the formation energy (no corrections): -1.1386 eV/atom.